La8Y2Cd PBE optimized geometry; ΔE_f = -0.03 eV per atom; DOS at the Fermi energy = 17.5 states/eV per cell
1.0
5.802 -2.591 0.000
5.802 2.591 0.000
-3.253 0.000 12.559
La Y Cd
8 2 1
direct
0.041 0.041 0.322
0.139 0.139 0.954
0.243 0.243 0.584
0.409 0.409 0.859
0.591 0.591 0.141
0.757 0.757 0.416
0.861 0.861 0.046
0.959 0.959 0.678
0.319 0.319 0.239
0.681 0.681 0.761
0.500 0.500 0.500